TiSb2IBr, relaxed, DFT PBE; Fermi-level density of states = 1.188 states/eV/atom; space group = No. 123
1.0
-0.679 5.394 -0.930
-5.467 -0.625 0.367
0.254 0.969 5.436
I Sb Br Ti
1 2 1 1
direct
0.000 0.000 0.500 I
0.000 0.500 0.000 Sb
0.500 0.000 0.000 Sb
0.000 0.000 0.000 Br
0.500 0.500 0.500 Ti

---

TlSbI2Br, relaxed, DFT PBE; Fermi-level density of states = 0.043 states/eV/atom; space group = No. 123
1.0
-0.381 2.049 -5.779
-3.292 -4.953 -1.539
-4.830 2.803 1.312
I Sb Tl Br
2 1 1 1
direct
0.000 0.500 0.000 I
0.500 0.000 0.000 I
0.000 0.000 0.000 Sb
0.500 0.500 0.500 Tl
0.000 0.000 0.500 Br

---

TlSbI2Br, relaxed, DFT PBE; Fermi-level density of states = 0.825 states/eV/atom; space group = No. 123
1.0
6.644 0.000 0.000
0.000 6.644 0.000
0.000 0.000 5.483
I Sb Tl Br
2 1 1 1
direct
0.000 0.500 0.000 I
0.500 0.000 0.000 I
0.000 0.000 0.500 Sb
0.500 0.500 0.500 Tl
0.000 0.000 0.000 Br

---

Which raw formation energy belongs to each record? In order, 553 -177 128 kJ/mol of formula units.
Which energy relative to the lowest polymorph listed for this composition belongs to each record? In order, 1159 0 631 meV per atom.
Which VASP energy belongs to each record? In order, -2.73 -2.62 -1.99 eV/atom.